1.
First-principles (SCAN) data for CaSiBi2 at its PBEsol-relaxed geometry, as listed in Alexandria via LeMat-Bulk.

Geometry as POSCAR:
```
CaSiBi2
1.0
6.883 0.152 -0.238
-2.669 6.347 0.238
2.669 2.885 5.658
Bi Ca Si
4 2 2
Direct
0.940 0.815 0.625
0.560 0.125 0.815
0.060 0.435 0.125
0.440 0.625 0.435
0.500 0.250 0.250
0.000 0.000 0.000
0.000 0.500 0.500
0.500 0.750 0.750
```

Output
DFT total energy in eV/cell: -354.0
Total magnetic moment in μB/cell: 0.000
Raw formation energy in meV/atom: -44

2.
First-principles (SCAN) data for Zr2SiPb at its PBEsol-relaxed geometry, as listed in Alexandria via LeMat-Bulk.

Geometry as POSCAR:
```
Zr2SiPb
1.0
3.149 0.000 0.000
0.000 3.149 0.000
0.000 0.000 8.107
Zr Pb Si
2 1 1
Direct
0.000 0.000 0.284
0.000 0.000 0.716
0.500 0.500 0.000
0.500 0.500 0.500
```

Output
DFT total energy in eV/cell: -148.8
Total magnetic moment in μB/cell: 0.000
Raw formation energy in meV/atom: -406
Energy above the lowest structure with this stoichiometry in eV per atom: 0.065

3.
First-principles (SCAN) data for CaCrCl2 at its PBEsol-relaxed geometry, as listed in Alexandria via LeMat-Bulk.

Geometry as POSCAR:
```
CaCrCl2
1.0
-0.300 3.201 -0.884
-3.198 -0.519 -0.790
-2.514 2.179 8.749
Cl Ca Cr
2 1 1
Direct
0.000 0.000 0.833
0.000 0.000 0.167
0.500 0.500 0.000
0.500 0.500 0.500
```

Output
DFT total energy in eV/cell: -48.6
Total magnetic moment in μB/cell: 5.435
Raw formation energy in meV/atom: -1145
Energy above the lowest structure with this stoichiometry in eV per atom: 0.000

- Which value of raw formation energy does entry 3 give?
  -1145 meV/atom